[1]
First-principles (PBE) data for a geometry-optimized Ga6CoNi2 structure, as listed in the Alexandria database.

## Properties
Energy relative to the lowest polymorph listed for this composition = 1.039 eV per formula unit
N(E_F) = 6.93 states/eV per cell
Size of the total moment = 0.000 μB per atom
ΔH_f (0 K) = -0.16 eV per atom
V = 260.8 Å³/cell

a = 4.7641 Å, b = 6.8754 Å, c = 8.8564 Å
α = 90.00°, β = 115.96°, γ = 90.00°
Last column: nearest neighbours and their distance in Å.
Space group P2_1/c (No. 14)
Asymmetric unit:
1 Ga 0.0305 0.1664 0.4376 x4  1 Co 2.38, 3 Ni 2.48-2.57, 1 Ga 2.61
2 Ga 0.3815 0.0114 0.2838 x4  1 Co 2.37, 2 Ni 2.52-2.62
3 Ga 0.3833 0.6797 0.4470 x4  1 Co 2.41, 2 Ni 2.63-2.66, 2 Ga 2.70
4 Co 0.0000 0.0000 0.0000 x2  6 Ga 2.37-2.41
5 Ni 0.1563 0.1232 0.7487 x4  9 Ga 2.48-2.75, 1 Co 2.77

[2]
First-principles (PBE) data for a geometry-optimized Sr2GaAgS4 structure, as listed in the Alexandria database.

## Properties
Raw formation energy = -1.08 eV per atom
N(E_F) = 1.32 states/eV per cell
Size of the total moment = 0.000 μB per atom
V = 749.7 Å³/cell

a = 8.2829 Å, b = 8.3385 Å, c = 10.8543 Å
α = 90.00°, β = 90.00°, γ = 90.00°
Last column: nearest neighbours and their distance in Å.
Space group Imma (No. 74)
Asymmetric unit:
1 Sr 0.0000 0.0000 0.0000 x4  6 S 2.86-2.97
2 Sr 0.2500 0.2500 0.2500 x4  6 S 3.01-3.12
3 Ga 0.2500 0.2500 0.7500 x4  2 S 2.31
4 Ag 0.0000 0.0000 0.5000 x4  2 S 2.57
5 S 0.0000 0.0116 0.7366 x8  1 Ag 2.57, 1 Sr 2.86, 2 Ga 2.87
6 S 0.2496 0.2500 0.5373 x8  1 Ga 2.31

[3]
First-principles (PBE) data for a geometry-optimized As2SeIO structure, as listed in the Alexandria database.

## Properties
Energy relative to the lowest polymorph listed for this composition = 0.000 eV per formula unit
Raw formation energy = 0.42 eV per atom
N(E_F) = 4.79 states/eV per cell
Size of the total moment = 0.000 μB per atom
V = 123.5 Å³/cell

a = 4.1606 Å, b = 4.1606 Å, c = 7.1355 Å
α = 90.00°, β = 90.00°, γ = 90.00°
Last column: nearest neighbours and their distance in Å.
Space group P4/mmm (No. 123)
Asymmetric unit:
1 As 0.0000 0.5000 0.0000 x2  2 O 2.08
2 Se 0.0000 0.0000 0.5000 x1  4 I 2.94
3 I 0.5000 0.5000 0.5000 x1  4 Se 2.94
4 O 0.0000 0.0000 0.0000 x1  4 As 2.08

[4]
First-principles (PBE) data for a geometry-optimized YHgBi3 structure, as listed in the Alexandria database.

## Properties
N(E_F) = 4.31 states/eV per cell
Size of the total moment = 0.000 μB per atom
ΔH_f (0 K) = 0.26 eV per atom
V = 208.0 Å³/cell

a = 5.9248 Å, b = 5.9248 Å, c = 5.9248 Å
α = 90.00°, β = 90.00°, γ = 90.00°
Last column: nearest neighbours and their distance in Å.
Space group Pm-3m (No. 221)
Asymmetric unit:
1 Y 0.0000 0.0000 0.0000 x1  6 Bi 2.96
2 Hg 0.5000 0.5000 0.5000 x1  12 Bi 4.19
3 Bi 0.0000 0.0000 0.5000 x3  2 Y 2.96

[5]
First-principles (PBE) data for a geometry-optimized Fe2CuW structure, as listed in the Alexandria database.

## Properties
Energy relative to the lowest polymorph listed for this composition = 0.182 eV per formula unit
N(E_F) = 2.41 states/eV per cell
Size of the total moment = 1.083 μB per atom
ΔH_f (0 K) = 0.21 eV per atom
V = 51.2 Å³/cell

a = 2.8485 Å, b = 2.8485 Å, c = 6.3069 Å
α = 90.00°, β = 90.00°, γ = 90.00°
Last column: nearest neighbours and their distance in Å.
Space group P4mm (No. 99)
Asymmetric unit:
1 Fe 0.0000 0.0000 0.0000 x1  4 Fe 2.42, 4 Cu 2.51
2 Fe 0.5000 0.5000 0.2136 x1  4 Fe 2.42, 4 W 2.60
3 Cu 0.5000 0.5000 0.7636 x1  4 Fe 2.51, 4 W 2.71
4 W 0.0000 0.0000 0.4755 x1  4 Fe 2.60, 4 Cu 2.71, 4 W 2.85

[6]
First-principles (PBE) data for a geometry-optimized Ac4RuI3 structure, as listed in the Alexandria database.

## Properties
Raw formation energy = -0.69 eV per atom
N(E_F) = 11.15 states/eV per cell
Size of the total moment = 0.000 μB per atom
V = 653.4 Å³/cell

a = 6.0131 Å, b = 12.2431 Å, c = 8.8748 Å
α = 90.00°, β = 90.00°, γ = 90.00°
Last column: nearest neighbours and their distance in Å.
Space group Pmmn (No. 59, origin choice 2)
Asymmetric unit:
1 Ac 0.2500 0.0182 0.1933 x4  1 Ru 2.84
2 Ac 0.2500 0.2500 0.8644 x2  1 Ru 2.78
3 Ac 0.2500 0.7500 0.7807 x2  2 Ru 3.03
4 Ru 0.2500 0.2500 0.1771 x2  5 Ac 2.78-3.03
5 I 0.2500 0.0189 0.6247 x4  5 Ac 3.44-3.83, 2 I 3.76
6 I 0.2500 0.7500 0.3687 x2  5 Ac 3.63-3.66, 2 I 4.00

[7]
First-principles (PBE) data for a geometry-optimized Li8AlHg2 structure, as listed in the Alexandria database.

## Properties
Energy relative to the lowest polymorph listed for this composition = 0.000 eV per formula unit
N(E_F) = 8.40 states/eV per cell
Size of the total moment = 0.000 μB per atom
ΔH_f (0 K) = -0.21 eV per atom
V = 383.3 Å³/cell

a = 13.5259 Å, b = 4.5993 Å, c = 7.1312 Å
α = 90.00°, β = 120.23°, γ = 90.00°
Last column: nearest neighbours and their distance in Å.
Space group C2/m (No. 12)
Asymmetric unit:
1 Li 0.0342 0.0000 0.2304 x4  7 Li 2.67-2.93, 1 Hg 2.80
2 Li 0.1052 0.5000 0.9478 x4  1 Al 2.77, 3 Hg 2.77-2.84, 3 Li 2.82-2.84
3 Li 0.1390 0.0000 0.6903 x4  3 Li 2.67-2.88, 3 Hg 2.82-2.98, 2 Al 2.85
4 Li 0.1729 0.5000 0.3913 x4  3 Hg 2.74-3.07, 1 Al 2.81, 6 Li 2.82-2.96
5 Al 0.0000 0.5000 0.5000 x2  8 Li 2.77-2.85
6 Hg 0.2211 0.0000 0.1639 x4  10 Li 2.74-3.07

[8]
First-principles (PBE) data for a geometry-optimized KTcO3 structure, as listed in the Alexandria database.

## Properties
Raw formation energy = -1.59 eV per atom
N(E_F) = 0.00 states/eV per cell
Size of the total moment = 0.000 μB per atom
V = 173.4 Å³/cell

a = 5.1641 Å, b = 6.2419 Å, c = 6.4743 Å
α = 71.08°, β = 66.90°, γ = 67.36°
Last column: nearest neighbours and their distance in Å.
Space group P-1 (No. 2)
Asymmetric unit:
1 K 0.1326 0.1204 0.1651 x2  6 O 2.71-3.01
2 Tc 0.3355 0.4456 0.4450 x2  3 O 1.77-1.89
3 O 0.0041 0.7126 0.4199 x2  2 Tc 1.89-2.09
4 O 0.4000 0.3332 0.7306 x2  2 Tc 1.87-2.07
5 O 0.4702 0.7332 0.7643 x2  1 Tc 1.77